! KCdSb2, single point on PBEsol structure, DFT SCAN; values from VASP
&SYSTEM
  ibrav = 0, nat = 4, ntyp = 3
/
ATOMIC_SPECIES
K 39.10 K.upf
Cd 112.41 Cd.upf
Sb 121.76 Sb.upf
CELL_PARAMETERS angstrom
-2.3028 2.3028 5.1759
2.3028 -2.3028 5.1759
2.3028 2.3028 -5.1759
ATOMIC_POSITIONS crystal
K 0.0000 0.0000 0.0000
Cd 0.5000 0.5000 0.0000
Sb 0.2500 0.7500 0.5000
Sb 0.7500 0.2500 0.5000
! Crystal system ... tetragonal
! Volume ... 27.447 A^3/atom
! Total magnetization ... 0.000 μB/atom
! SG ... I4/mmm (139)
! ΔE_f (raw) ... -0.0455 eV per atom